No. 1
## Pr2SeIF2 (GGA-PBE)

Data for a relaxed structure of Pr2SeIF2.

Output
Uncorrected formation energy, eV/atom: -2.6028
DOS(E_F), states/eV/cell: 3.0

abc: 4.210 4.210 8.992
angles: 90.00 90.00 120.00
Element x y z (fractional)
F (0.667, 0.333, 0.744)
F (0.333, 0.667, 0.256)
Pr (0.667, 0.333, 0.291)
I (0.000, 0.000, 0.000)
Se (0.000, 0.000, 0.500)
Pr (0.333, 0.667, 0.709)

No. 2
## Ni3Br (GGA-PBE)

Data for a relaxed structure of Ni3Br.

Output
Uncorrected formation energy, eV/atom: 0.5212
E above lowest polymorph, meV/atom: 220
DOS(E_F), states/eV/cell: 6.7

abc: 3.356 3.356 6.345
angles: 90.00 90.00 120.00
Element x y z (fractional)
Ni (0.667, 0.333, 0.290)
Ni (0.667, 0.333, 0.710)
Br (0.000, 0.000, 0.000)
Ni (0.000, 0.000, 0.500)

No. 3
## CrPb (GGA-PBE)

Data for a relaxed structure of CrPb.

Output
Formation energy, eV per atom: 1.3078
DOS(E_F), states/eV/cell: 3.1

abc: 4.527 4.527 4.527
angles: 60.00 60.00 60.00
Element x y z (fractional)
Cr (0.000, 0.000, 0.000)
Pb (0.750, 0.750, 0.750)

No. 4
## K2NaLiF6 (GGA-PBE)

Data for a relaxed structure of K2NaLiF6.

Output
Uncorrected formation energy, eV/atom: -2.2171

abc: 6.123 5.898 8.392
angles: 90.00 77.54 90.00
Element x y z (fractional)
F (0.275, 0.711, 0.045)
F (0.506, 0.984, 0.764)
K (0.492, 0.499, 0.248)
F (0.225, 0.211, 0.455)
K (0.992, 0.001, 0.748)
F (0.775, 0.789, 0.545)
Na (0.500, 0.000, 0.500)
F (0.494, 0.016, 0.236)
F (0.006, 0.516, 0.264)
F (0.752, 0.315, 0.456)
Li (0.000, 0.500, 0.500)
F (0.248, 0.685, 0.544)
F (0.994, 0.484, 0.736)
F (0.725, 0.289, 0.955)
F (0.748, 0.815, 0.044)
K (0.508, 0.501, 0.752)
Na (0.000, 0.500, 0.000)
F (0.252, 0.185, 0.956)
Li (0.500, 0.000, 0.000)
K (0.008, 0.999, 0.252)

No. 5
## B2NF2 (GGA-PBE)

Data for a relaxed structure of B2NF2.

Output
Uncorrected formation energy, eV/atom: -0.0960
E above lowest polymorph, meV/atom: 0
DOS(E_F), states/eV/cell: 0.8

abc: 4.527 4.527 3.355
angles: 90.00 90.00 90.00
Element x y z (fractional)
N (0.500, 0.500, 0.000)
F (0.679, 0.821, 0.500)
F (0.321, 0.179, 0.500)
N (0.000, 0.000, 0.000)
B (0.785, 0.285, 0.000)
F (0.179, 0.679, 0.500)
F (0.821, 0.321, 0.500)
B (0.215, 0.715, 0.000)
B (0.285, 0.215, 0.000)
B (0.715, 0.785, 0.000)

No. 6
## Li2ZrSb (GGA-PBE)

Data for a relaxed structure of Li2ZrSb.

Output
Uncorrected formation energy, eV/atom: -0.1440
DOS(E_F), states/eV/cell: 2.9

abc: 5.615 5.615 5.293
angles: 73.28 73.28 31.98
Element x y z (fractional)
Li (0.222, 0.222, 0.195)
Zr (0.772, 0.772, 0.669)
Li (0.986, 0.986, 0.068)
Sb (0.520, 0.520, 0.568)

No. 7
## BaAc2Tl2Cd2 (GGA-PBE)

Data for a relaxed structure of BaAc2Tl2Cd2.

Output
Formation energy, eV per atom: -0.2355
DOS(E_F), states/eV/cell: 3.6

abc: 5.259 5.259 10.950
angles: 76.11 76.11 60.00
Element x y z (fractional)
Cd (0.409, 0.409, 0.773)
Tl (0.745, 0.745, 0.765)
Ac (0.872, 0.872, 0.384)
Ac (0.128, 0.128, 0.616)
Ba (0.000, 0.000, 0.000)
Cd (0.591, 0.591, 0.227)
Tl (0.255, 0.255, 0.235)

No. 8
## TaZnC (GGA-PBE)

Data for a relaxed structure of TaZnC.

Output
Formation energy, eV per atom: 0.1305
DOS(E_F), states/eV/cell: 2.0

abc: 3.711 3.711 7.797
angles: 76.23 76.23 60.00
Element x y z (fractional)
C (0.716, 0.716, 0.852)
Ta (0.621, 0.621, 0.138)
Ta (0.379, 0.379, 0.862)
C (0.284, 0.284, 0.148)
Zn (0.806, 0.806, 0.581)
Zn (0.194, 0.194, 0.419)

No. 9
## Ca3Ga7Ni2 (GGA-PBE)

Data for a relaxed structure of Ca3Ga7Ni2.

Output
Formation energy, eV per atom: -0.3789
DOS(E_F), states/eV/cell: 6.3

abc: 4.312 4.284 13.169
angles: 99.36 90.00 90.00
Element x y z (fractional)
Ca (0.500, 0.500, 0.000)
Ga (0.500, 0.910, 0.821)
Ca (0.500, 0.319, 0.639)
Ga (0.500, 0.090, 0.179)
Ca (0.500, 0.681, 0.361)
Ni (0.000, 0.869, 0.737)
Ga (0.000, 0.411, 0.822)
Ga (0.000, 0.589, 0.178)
Ga (0.000, 0.222, 0.444)
Ga (0.000, 0.778, 0.556)
Ga (0.000, 0.000, 0.000)
Ni (0.000, 0.131, 0.263)

No. 10
## NaNpI4 (GGA-PBE)

Data for a relaxed structure of NaNpI4.

Output
Uncorrected formation energy, eV/atom: -0.8427
E above lowest polymorph, meV/atom: 143
DOS(E_F), states/eV/cell: 4.9

abc: 8.366 8.366 7.539
angles: 123.70 123.70 90.00
Element x y z (fractional)
Na (0.750, 0.250, 0.500)
I (0.436, 0.874, 0.316)
I (0.880, 0.442, 0.316)
Np (0.500, 0.500, 0.000)
I (0.558, 0.564, 0.684)
I (0.126, 0.120, 0.684)

No. 11
## CaSeBr2N (GGA-PBE)

Data for a relaxed structure of CaSeBr2N.

Output
Uncorrected formation energy, eV/atom: -0.0106
E above lowest polymorph, meV/atom: 0
DOS(E_F), states/eV/cell: 0.2

abc: 4.605 4.605 4.972
angles: 90.00 90.00 90.00
Element x y z (fractional)
N (0.000, 0.000, 0.000)
Ca (0.500, 0.500, 0.500)
Br (0.000, 0.500, 0.000)
Se (0.000, 0.000, 0.500)
Br (0.500, 0.000, 0.000)

No. 12
## U2Mn2Se7 (GGA-PBE)

Data for a relaxed structure of U2Mn2Se7.

Output
Uncorrected formation energy, eV/atom: -0.7653
DOS(E_F), states/eV/cell: 37.3

abc: 9.090 9.090 9.090
angles: 60.00 60.00 60.00
Element x y z (fractional)
Se (0.781, 0.219, 0.219)
Se (0.219, 0.781, 0.781)
Se (0.219, 0.219, 0.781)
Se (0.219, 0.781, 0.219)
Se (0.469, 0.469, 0.031)
Mn (0.625, 0.125, 0.125)
U (0.625, 0.625, 0.125)
Se (0.750, 0.750, 0.750)
Se (0.031, 0.031, 0.469)
Se (0.500, 0.500, 0.500)
Se (0.469, 0.031, 0.031)
Se (0.031, 0.469, 0.031)
Mn (0.125, 0.125, 0.125)
U (0.125, 0.625, 0.625)
Se (0.781, 0.781, 0.219)
U (0.625, 0.625, 0.625)
Mn (0.125, 0.125, 0.625)
Se (0.469, 0.031, 0.469)
Mn (0.125, 0.625, 0.125)
Se (0.031, 0.469, 0.469)
U (0.625, 0.125, 0.625)
Se (0.781, 0.219, 0.781)

No. 13
## Ti3Te4 (GGA-PBE)

Data for a relaxed structure of Ti3Te4.

Output
Uncorrected formation energy, eV/atom: -0.6852
E above lowest polymorph, meV/atom: 34
DOS(E_F), states/eV/cell: 5.0

abc: 3.854 6.823 7.360
angles: 113.17 105.18 90.00
Element x y z (fractional)
Te (0.604, 0.310, 0.209)
Te (0.858, 0.179, 0.716)
Ti (0.000, 0.000, 0.000)
Ti (0.758, 0.715, 0.517)
Te (0.142, 0.821, 0.284)
Ti (0.242, 0.285, 0.483)
Te (0.396, 0.690, 0.791)

No. 14
## Ba2B5HO10 (GGA-PBE)

Data for a relaxed structure of Ba2B5HO10.

Output
E, eV per formula unit: -135.99
DOS(E_F), states/eV/cell: 0.0

abc: 6.730 8.775 15.086
angles: 90.00 94.09 90.00
Element x y z (fractional)
O (0.744, 0.608, 0.367)
O (0.793, 0.712, 0.988)
H (0.422, 0.524, 0.428)
O (0.370, 0.955, 0.256)
B (0.204, 0.264, 0.110)
O (0.557, 0.315, 0.724)
B (0.535, 0.163, 0.686)
O (0.326, 0.123, 0.660)
O (0.207, 0.288, 0.012)
O (0.207, 0.212, 0.512)
O (0.434, 0.035, 0.874)
B (0.566, 0.943, 0.815)
Ba (0.511, 0.661, 0.104)
O (0.854, 0.300, 0.984)
O (0.361, 0.845, 0.404)
O (0.987, 0.211, 0.636)
O (0.630, 0.045, 0.744)
B (0.829, 0.188, 0.575)
O (0.370, 0.545, 0.756)
Ba (0.951, 0.999, 0.228)
B (0.796, 0.736, 0.890)
B (0.171, 0.812, 0.425)
B (0.171, 0.688, 0.925)
O (0.066, 0.209, 0.362)
B (0.204, 0.236, 0.610)
B (0.046, 0.291, 0.949)
B (0.954, 0.709, 0.051)
B (0.829, 0.312, 0.075)
Ba (0.951, 0.501, 0.728)
O (0.066, 0.291, 0.862)
B (0.796, 0.764, 0.390)
O (0.639, 0.345, 0.096)
B (0.434, 0.057, 0.185)
H (0.422, 0.976, 0.928)
O (0.639, 0.155, 0.596)
O (0.146, 0.700, 0.016)
B (0.954, 0.791, 0.551)
B (0.434, 0.443, 0.685)
O (0.630, 0.455, 0.244)
B (0.046, 0.209, 0.449)
O (0.013, 0.789, 0.364)
H (0.578, 0.476, 0.572)
O (0.013, 0.711, 0.864)
Ba (0.511, 0.839, 0.604)
O (0.793, 0.788, 0.488)
Ba (0.489, 0.161, 0.396)
H (0.578, 0.024, 0.072)
O (0.146, 0.800, 0.516)
O (0.443, 0.685, 0.276)
Ba (0.049, 0.499, 0.272)
O (0.361, 0.655, 0.904)
O (0.566, 0.535, 0.626)
B (0.465, 0.837, 0.314)
B (0.465, 0.663, 0.814)
B (0.535, 0.337, 0.186)
O (0.256, 0.108, 0.133)
O (0.434, 0.465, 0.374)
O (0.256, 0.392, 0.633)
O (0.674, 0.877, 0.340)
O (0.557, 0.185, 0.224)
Ba (0.049, 0.001, 0.772)
B (0.566, 0.557, 0.315)
Ba (0.489, 0.339, 0.896)
O (0.566, 0.965, 0.126)
O (0.674, 0.623, 0.840)
O (0.443, 0.815, 0.776)
O (0.934, 0.791, 0.638)
O (0.934, 0.709, 0.138)
O (0.326, 0.377, 0.160)
O (0.854, 0.200, 0.484)
O (0.987, 0.289, 0.136)
O (0.744, 0.892, 0.867)

No. 15
## AcTlTe (GGA-PBE)

Data for a relaxed structure of AcTlTe.

Output
Uncorrected formation energy, eV/atom: -0.6316
E above lowest polymorph, meV/atom: 146
DOS(E_F), states/eV/cell: 1.5

abc: 4.069 5.376 5.376
angles: 120.00 90.00 90.00
Element x y z (fractional)
Ac (0.999, 0.000, 0.000)
Te (0.493, 0.333, 0.667)
Tl (0.508, 0.667, 0.333)

No. 16
## ErInRh4 (GGA-PBE)

Data for a relaxed structure of ErInRh4.

Output
Formation energy, eV per atom: -0.4919
DOS(E_F), states/eV/cell: 6.0

abc: 5.270 5.270 5.270
angles: 60.00 60.00 60.00
Element x y z (fractional)
Rh (0.626, 0.123, 0.626)
In (0.000, 0.000, 0.000)
Er (0.250, 0.250, 0.250)
Rh (0.626, 0.626, 0.626)
Rh (0.123, 0.626, 0.626)
Rh (0.626, 0.626, 0.123)

No. 17
## CoCu2Br (GGA-PBE)

Data for a relaxed structure of CoCu2Br.

Output
Uncorrected formation energy, eV/atom: 0.6999
E above lowest polymorph, meV/atom: 356
DOS(E_F), states/eV/cell: 5.1

abc: 4.350 4.350 4.350
angles: 60.00 60.00 60.00
Element x y z (fractional)
Co (0.750, 0.750, 0.750)
Cu (0.250, 0.250, 0.250)
Br (0.500, 0.500, 0.500)
Cu (0.000, 0.000, 0.000)

No. 18
## CdSe3 (GGA-PBE)

Data for a relaxed structure of CdSe3.

Output
Uncorrected formation energy, eV/atom: 0.3897
DOS(E_F), states/eV/cell: 3.1

abc: 4.445 4.445 4.445
angles: 90.00 90.00 90.00
Element x y z (fractional)
Se (0.500, 0.000, 0.500)
Se (0.000, 0.500, 0.500)
Se (0.500, 0.500, 0.000)
Cd (0.000, 0.000, 0.000)

No. 19
## Tb7ZnI12 (GGA-PBE)

Data for a relaxed structure of Tb7ZnI12.

Output
Uncorrected formation energy, eV/atom: -1.1586
DOS(E_F), states/eV/cell: 11.6

abc: 9.733 9.733 9.733
angles: 107.83 107.83 107.83
Element x y z (fractional)
I (0.685, 0.228, 0.077)
Tb (0.315, 0.107, 0.036)
Tb (0.685, 0.893, 0.964)
I (0.228, 0.077, 0.685)
I (0.608, 0.528, 0.845)
I (0.077, 0.685, 0.228)
I (0.315, 0.772, 0.923)
I (0.472, 0.155, 0.392)
Tb (0.500, 0.500, 0.500)
I (0.923, 0.315, 0.772)
I (0.772, 0.923, 0.315)
Tb (0.107, 0.036, 0.315)
I (0.528, 0.845, 0.608)
I (0.845, 0.608, 0.528)
I (0.392, 0.472, 0.155)
Zn (0.000, 0.000, 0.000)
Tb (0.893, 0.964, 0.685)
I (0.155, 0.392, 0.472)
Tb (0.964, 0.685, 0.893)
Tb (0.036, 0.315, 0.107)

No. 20
## Rb2BaZrSe4 (GGA-PBE)

Data for a relaxed structure of Rb2BaZrSe4.

Output
Uncorrected formation energy, eV/atom: -1.4384

abc: 9.133 9.133 9.606
angles: 121.73 121.73 90.36
Element x y z (fractional)
Se (0.715, 0.298, 0.506)
Rb (0.500, 0.500, 0.000)
Se (0.285, 0.702, 0.494)
Rb (0.500, 0.000, 0.500)
Rb (0.000, 0.000, 0.500)
Se (0.798, 0.215, 0.006)
Ba (0.000, 0.500, 0.500)
Rb (0.500, 0.000, 0.000)
Se (0.752, 0.748, 0.556)
Se (0.248, 0.252, 0.444)
Se (0.202, 0.785, 0.994)
Zr (0.500, 0.500, 0.500)
Ba (0.000, 0.500, 0.000)
Zr (0.000, 0.000, 0.000)
Se (0.248, 0.252, 0.056)
Se (0.752, 0.748, 0.944)

No. 21
## CeNd2Pd (GGA-PBE)

Data for a relaxed structure of CeNd2Pd.

Output
Formation energy, eV per atom: -0.0065
E above lowest polymorph, meV/atom: 278
DOS(E_F), states/eV/cell: 7.9

abc: 3.605 3.605 11.075
angles: 80.63 80.63 60.00
Element x y z (fractional)
Ce (0.000, 0.000, 0.000)
Nd (0.104, 0.104, 0.689)
Pd (0.500, 0.500, 0.500)
Nd (0.896, 0.896, 0.311)